Arrangement A

The following is a PBE calculation of a relaxed structure of NaC3I, from the Alexandria database.

Lattice parameters (Å, degrees): 4.3295 4.3295 4.3295 90.00 90.00 90.00
Element x y z (fractional)
I 0.0000 0.0000 0.0000
Na 0.5000 0.5000 0.5000
C 0.0000 0.5000 0.0000
C 0.0000 0.0000 0.5000
C 0.5000 0.0000 0.0000

Space group: Pm-3m (221)

Arrangement B

The following is a PBE calculation of a relaxed structure of NaC3I, from the Alexandria database.

Lattice parameters (Å, degrees): 4.5146 4.5146 4.5146 90.00 90.00 90.00
Element x y z (fractional)
I 0.5000 0.5000 0.5000
Na 0.0000 0.0000 0.0000
C 0.0000 0.5000 0.0000
C 0.0000 0.0000 0.5000
C 0.5000 0.0000 0.0000

Space group: Pm-3m (221)

Here are the energies relative to the best structure, in meV/atom: arrangement A 0; arrangement B 669.

Arrangement A

The following is a PBE calculation of a relaxed structure of Na2CI2, from the Alexandria database.

Lattice parameters (Å, degrees): 8.3985 8.3985 4.2997 90.00 90.00 90.00
Element x y z (fractional)
I 0.3329 0.8329 0.0000
I 0.8329 0.6671 0.0000
I 0.6671 0.1671 0.0000
I 0.1671 0.3329 0.0000
Na 0.1476 0.6476 0.5000
Na 0.6476 0.8524 0.5000
Na 0.8524 0.3524 0.5000
Na 0.3524 0.1476 0.5000
C 0.0000 0.0000 0.0000
C 0.5000 0.5000 0.0000

Space group: P4/mbm (127)

Arrangement B

The following is a PBE calculation of a relaxed structure of Na2CI2, from the Alexandria database.

Lattice parameters (Å, degrees): 6.2088 6.2088 6.5046 61.49 61.49 90.00
Element x y z (fractional)
I 0.2836 0.2836 0.4329
I 0.7164 0.7164 0.5671
Na 0.7500 0.2500 0.5000
Na 0.2500 0.7500 0.5000
C 0.0000 0.0000 0.0000

Space group: I4/mmm (139)

Here are the energies relative to the best structure, in meV/atom: arrangement A 62; arrangement B 0.

Arrangement A

The following is a PBE calculation of a relaxed structure of NbC2I, from the Alexandria database.

Lattice parameters (Å, degrees): 5.5406 5.5406 6.3707 64.22 64.22 90.00
Element x y z (fractional)
I 0.0000 0.0000 0.0000
I 0.7500 0.2500 0.5000
Nb 0.5000 0.5000 0.0000
Nb 0.2500 0.7500 0.5000
C 0.5306 0.1250 0.2500
C 0.2194 0.6250 0.2500
C 0.3750 0.4694 0.7500
C 0.8750 0.7806 0.7500

Space group: I-42d (122)

Arrangement B

The following is a PBE calculation of a relaxed structure of NbC2I, from the Alexandria database.

Lattice parameters (Å, degrees): 4.2075 4.2075 4.2075 60.00 60.00 60.00
Element x y z (fractional)
I 0.5000 0.5000 0.5000
Nb 0.0000 0.0000 0.0000
C 0.2500 0.2500 0.2500
C 0.7500 0.7500 0.7500

Space group: Fm-3m (225)

Here are the energies relative to the best structure, in meV/atom: arrangement A 0; arrangement B 861.

Arrangement A

The following is a PBE calculation of a relaxed structure of Nb3CI, from the Alexandria database.

Lattice parameters (Å, degrees): 4.4109 4.4109 4.4109 90.00 90.00 90.00
Element x y z (fractional)
I 0.5000 0.5000 0.5000
Nb 0.0000 0.5000 0.0000
Nb 0.0000 0.0000 0.5000
Nb 0.5000 0.0000 0.0000
C 0.0000 0.0000 0.0000

Space group: Pm-3m (221)

Arrangement B

The following is a PBE calculation of a relaxed structure of Nb3CI, from the Alexandria database.

Lattice parameters (Å, degrees): 5.0179 5.0179 5.0179 90.00 90.00 90.00
Element x y z (fractional)
I 0.0000 0.0000 0.0000
Nb 0.0000 0.5000 0.0000
Nb 0.0000 0.0000 0.5000
Nb 0.5000 0.0000 0.0000
C 0.5000 0.5000 0.5000

Space group: Pm-3m (221)

Here are the energies relative to the best structure, in meV/atom: arrangement A 0; arrangement B 2608.

Arrangement A

The following is a PBE calculation of a relaxed structure of NbC3I, from the Alexandria database.

Lattice parameters (Å, degrees): 4.3391 4.3391 4.3391 90.00 90.00 90.00
Element x y z (fractional)
I 0.5000 0.5000 0.5000
Nb 0.0000 0.0000 0.0000
C 0.0000 0.5000 0.0000
C 0.0000 0.0000 0.5000
C 0.5000 0.0000 0.0000

Space group: Pm-3m (221)

Arrangement B

The following is a PBE calculation of a relaxed structure of NbC3I, from the Alexandria database.

Lattice parameters (Å, degrees): 4.0577 4.0577 4.0577 90.00 90.00 90.00
Element x y z (fractional)
I 0.0000 0.0000 0.0000
Nb 0.5000 0.5000 0.5000
C 0.0000 0.5000 0.0000
C 0.0000 0.0000 0.5000
C 0.5000 0.0000 0.0000

Space group: Pm-3m (221)

Here are the energies relative to the best structure, in meV/atom: arrangement A 0; arrangement B 851.

Arrangement A

The following is a PBE calculation of a relaxed structure of NbCI2O, from the Alexandria database.

Lattice parameters (Å, degrees): 5.2754 5.2754 3.3238 90.00 90.00 90.00
Element x y z (fractional)
I 0.0000 0.5000 0.0000
I 0.5000 0.0000 0.0000
Nb 0.5000 0.5000 0.5000
C 0.0000 0.0000 0.0000
O 0.0000 0.0000 0.5000

Space group: P4/mmm (123)

Arrangement B

The following is a PBE calculation of a relaxed structure of NbCI2O, from the Alexandria database.

Lattice parameters (Å, degrees): 5.6274 3.9029 5.6274 90.00 90.00 90.00
Element x y z (fractional)
I 0.0000 0.0000 0.5000
I 0.5000 0.0000 0.0000
Nb 0.0000 0.0000 0.0000
C 0.5000 0.5000 0.5000
O 0.0000 0.5000 0.0000

Space group: P4/mmm (123)

Here are the energies relative to the best structure, in meV/atom: arrangement A 549; arrangement B 0.

Arrangement A

The following is a PBE calculation of a relaxed structure of NbTe2CI, from the Alexandria database.

Lattice parameters (Å, degrees): 4.7384 4.7384 4.9057 90.00 90.00 90.00
Element x y z (fractional)
I 0.0000 0.0000 0.5000
Nb 0.5000 0.5000 0.5000
Te 0.0000 0.5000 0.0000
Te 0.5000 0.0000 0.0000
C 0.0000 0.0000 0.0000

Space group: P4/mmm (123)

Arrangement B

The following is a PBE calculation of a relaxed structure of NbTe2CI, from the Alexandria database.

Lattice parameters (Å, degrees): 5.3769 5.3769 5.6685 90.00 90.00 90.00
Element x y z (fractional)
I 0.0000 0.0000 0.5000
Nb 0.0000 0.0000 0.0000
Te 0.0000 0.5000 0.0000
Te 0.5000 0.0000 0.0000
C 0.5000 0.5000 0.5000

Space group: P4/mmm (123)

Here are the energies relative to the best structure, in meV/atom: arrangement A 0; arrangement B 192.

Arrangement A

The following is a PBE calculation of a relaxed structure of Nd3CI3, from the Alexandria database.

Lattice parameters (Å, degrees): 7.9835 7.9835 8.0939 98.97 98.97 109.39
Element x y z (fractional)
Nd 0.9160 0.9160 0.1721
Nd 0.8525 0.5599 0.7656
Nd 0.5599 0.8525 0.7656
Nd 0.1475 0.4401 0.2344
Nd 0.4401 0.1475 0.2344
Nd 0.0840 0.0840 0.8279
C 0.8345 0.8345 0.8677
C 0.1655 0.1655 0.1323
I 0.6075 0.6075 0.3360
I 0.1702 0.8298 0.5000
I 0.8298 0.1702 0.5000
I 0.2686 0.7314 0.0000
I 0.7314 0.2686 0.0000
I 0.3925 0.3925 0.6640

Space group: C2/m (12)

Arrangement B

The following is a PBE calculation of a relaxed structure of Nd3CI3, from the Alexandria database.

Lattice parameters (Å, degrees): 4.0341 9.0215 12.2243 92.43 90.00 90.00
Element x y z (fractional)
Nd 0.2500 0.2984 0.6155
Nd 0.7500 0.7016 0.3846
Nd 0.2500 0.9150 0.6018
Nd 0.7500 0.0850 0.3982
Nd 0.2500 0.8875 0.1811
Nd 0.7500 0.1125 0.8189
C 0.2500 0.8816 0.3844
C 0.7500 0.1184 0.6156
I 0.2500 0.3829 0.3651
I 0.7500 0.6171 0.6349
I 0.2500 0.8545 0.8748
I 0.7500 0.1455 0.1252
I 0.2500 0.3776 0.8722
I 0.7500 0.6224 0.1278

Space group: P2_1/m (11)

Here are the energies relative to the best structure, in meV/atom: arrangement A 263; arrangement B 0.

Arrangement A

The following is a PBE calculation of a relaxed structure of NiCI3, from the Alexandria database.

Lattice parameters (Å, degrees): 5.0211 5.0211 5.0211 90.00 90.00 90.00
Element x y z (fractional)
I 0.0000 0.5000 0.0000
I 0.0000 0.0000 0.5000
I 0.5000 0.0000 0.0000
Ni 0.5000 0.5000 0.5000
C 0.0000 0.0000 0.0000

Space group: Pm-3m (221)

Arrangement B

The following is a PBE calculation of a relaxed structure of NiCI3, from the Alexandria database.

Lattice parameters (Å, degrees): 5.2466 5.2466 5.2466 90.00 90.00 90.00
Element x y z (fractional)
I 0.0000 0.5000 0.0000
I 0.0000 0.0000 0.5000
I 0.5000 0.0000 0.0000
Ni 0.0000 0.0000 0.0000
C 0.5000 0.5000 0.5000

Space group: Pm-3m (221)

Here are the energies relative to the best structure, in meV/atom: arrangement A 8; arrangement B 0.

Arrangement A

The following is a PBE calculation of a relaxed structure of Ni3CI, from the Alexandria database.

Lattice parameters (Å, degrees): 4.6206 4.6206 4.6206 90.00 90.00 90.00
Element x y z (fractional)
I 0.0000 0.0000 0.0000
Ni 0.0000 0.5000 0.0000
Ni 0.0000 0.0000 0.5000
Ni 0.5000 0.0000 0.0000
C 0.5000 0.5000 0.5000

Space group: Pm-3m (221)

Arrangement B

The following is a PBE calculation of a relaxed structure of Ni3CI, from the Alexandria database.

Lattice parameters (Å, degrees): 3.9908 3.9908 3.9908 90.00 90.00 90.00
Element x y z (fractional)
I 0.5000 0.5000 0.5000
Ni 0.0000 0.5000 0.0000
Ni 0.0000 0.0000 0.5000
Ni 0.5000 0.0000 0.0000
C 0.0000 0.0000 0.0000

Space group: Pm-3m (221)

Here are the energies relative to the best structure, in meV/atom: arrangement A 1764; arrangement B 0.

Arrangement A

The following is a PBE calculation of a relaxed structure of NiCI2, from the Alexandria database.

Lattice parameters (Å, degrees): 4.7608 4.7608 4.7608 60.00 60.00 60.00
Element x y z (fractional)
I 0.2500 0.2500 0.2500
I 0.7500 0.7500 0.7500
Ni 0.5000 0.5000 0.5000
C 0.0000 0.0000 0.0000

Space group: Fm-3m (225)

Arrangement B

The following is a PBE calculation of a relaxed structure of NiCI2, from the Alexandria database.

Lattice parameters (Å, degrees): 5.6805 5.6805 7.1720 66.67 66.67 90.00
Element x y z (fractional)
I 0.6249 0.1250 0.2500
I 0.1251 0.6250 0.2500
I 0.3750 0.3751 0.7500
I 0.8750 0.8749 0.7500
Ni 0.0000 0.0000 0.0000
Ni 0.7500 0.2500 0.5000
C 0.5000 0.5000 0.0000
C 0.2500 0.7500 0.5000

Space group: I-42d (122)

Here are the energies relative to the best structure, in meV/atom: arrangement A 578; arrangement B 0.